Entry 1:
# HfGeS3

An optimized crystal structure of HfGeS3 (PBE, Alexandria via LeMat-Bulk).

a = 9.9495 Å, b = 9.9495 Å, c = 6.5575 Å
α = 90.86°, β = 90.86°, γ = 22.87°
With the nearest neighbours (Å) after each atom.
Atoms (fractional coordinates):
Hf  0.0921  0.0921  0.0559  5 S 2.44-2.53
Hf  0.9079  0.9079  0.9441  5 S 2.44-2.53
Ge  0.4039  0.4039  0.4488  3 S 2.56-2.60
Ge  0.5961  0.5961  0.5512  3 S 2.56-2.60
S  0.0133  0.0133  0.7481  2 Hf 2.44-2.52
S  0.1589  0.1589  0.3894  1 Hf 2.53, 2 Ge 2.56
S  0.3484  0.3484  0.0853  2 Hf 2.48, 1 Ge 2.60
S  0.6516  0.6516  0.9147  2 Hf 2.48, 1 Ge 2.60
S  0.8411  0.8411  0.6106  1 Hf 2.53, 2 Ge 2.56
S  0.9867  0.9867  0.2519  2 Hf 2.44-2.52

Computed properties:
- formation energy without anion corrections (kJ/mol of formula units) = -424
- offset from the most stable computed form (meV per atom) = 189
- SG = C2/m (12)


Entry 2:
# HfGeS2

An optimized crystal structure of HfGeS2 (PBE, Alexandria via LeMat-Bulk).

a = 6.8892 Å, b = 6.8892 Å, c = 6.8892 Å
α = 126.25°, β = 126.25°, γ = 79.47°
With the nearest neighbours (Å) after each atom.
Atoms (fractional coordinates):
Hf  0.0000  0.0000  0.0000  4 S 2.43
Hf  0.7500  0.2500  0.5000  4 S 2.43
Ge  0.2500  0.7500  0.5000  4 S 2.72
Ge  0.5000  0.5000  0.0000  4 S 2.72
S  0.0872  0.6250  0.9622  2 Hf 2.43, 2 Ge 2.72
S  0.3750  0.3372  0.4622  2 Hf 2.43, 2 Ge 2.72
S  0.6628  0.1250  0.0378  2 Hf 2.43, 2 Ge 2.72
S  0.8750  0.9128  0.5378  2 Hf 2.43, 2 Ge 2.72

Computed properties:
- formation energy without anion corrections (kJ/mol of formula units) = -135
- SG = I-42d (122)


Entry 3:
# Hf2GeS

An optimized crystal structure of Hf2GeS (PBE, Alexandria via LeMat-Bulk).

a = 6.9276 Å, b = 6.9276 Å, c = 6.9276 Å
α = 30.50°, β = 30.50°, γ = 30.50°
With the nearest neighbours (Å) after each atom.
Atoms (fractional coordinates):
Hf  0.0000  0.0000  0.0000  3 Ge 2.62, 3 S 2.70
Hf  0.1733  0.1733  0.1733  3 Ge 2.64, 3 S 2.73
Ge  0.5876  0.5876  0.5876  6 Hf 2.62-2.64
S  0.4188  0.4188  0.4188  6 Hf 2.70-2.73

Computed properties:
- formation energy without anion corrections (kJ/mol of formula units) = -348
- offset from the most stable computed form (meV per atom) = 0
- SG = R3m (160)


Entry 4:
# HfGeS3

An optimized crystal structure of HfGeS3 (PBE, Alexandria via LeMat-Bulk).

a = 4.5974 Å, b = 4.5974 Å, c = 4.5974 Å
α = 90.00°, β = 90.00°, γ = 90.00°
With the nearest neighbours (Å) after each atom.
Atoms (fractional coordinates):
Hf  0.0000  0.0000  0.0000  12 S 3.25
Ge  0.5000  0.5000  0.5000  6 S 2.30
S  0.0000  0.5000  0.5000  2 Ge 2.30
S  0.5000  0.0000  0.5000  2 Ge 2.30
S  0.5000  0.5000  0.0000  2 Ge 2.30

Computed properties:
- formation energy without anion corrections (kJ/mol of formula units) = 64
- offset from the most stable computed form (meV per atom) = 1201
- SG = Pm-3m (221)


Entry 5:
# Hf2Ge2S

An optimized crystal structure of Hf2Ge2S (PBE, Alexandria via LeMat-Bulk).

a = 6.9700 Å, b = 6.9700 Å, c = 3.9046 Å
α = 90.00°, β = 90.00°, γ = 90.00°
With the nearest neighbours (Å) after each atom.
Atoms (fractional coordinates):
Hf  0.1764  0.3236  0.0000  2 S 2.57, 2 Ge 2.76
Hf  0.3236  0.8236  0.0000  2 S 2.57, 2 Ge 2.76
Hf  0.6764  0.1764  0.0000  2 S 2.57, 2 Ge 2.76
Hf  0.8236  0.6764  0.0000  2 S 2.57, 2 Ge 2.76
Ge  0.1251  0.6251  0.5000  1 Ge 2.47
Ge  0.3749  0.1251  0.5000  1 Ge 2.47
Ge  0.6251  0.8749  0.5000  1 Ge 2.47
Ge  0.8749  0.3749  0.5000  1 Ge 2.47
S  0.0000  0.0000  0.0000  4 Hf 2.57
S  0.5000  0.5000  0.0000  4 Hf 2.57

Computed properties:
- formation energy without anion corrections (kJ/mol of formula units) = -340
- SG = P4/mbm (127)


Entry 6:
# Hf2GeS

An optimized crystal structure of Hf2GeS (PBE, Alexandria via LeMat-Bulk).

a = 4.6534 Å, b = 4.6534 Å, c = 4.6534 Å
α = 60.00°, β = 60.00°, γ = 60.00°
With the nearest neighbours (Å) after each atom.
Atoms (fractional coordinates):
Hf  0.2500  0.2500  0.2500  4 S 2.85, 4 Ge 2.85
Hf  0.7500  0.7500  0.7500  4 S 2.85, 4 Ge 2.85
Ge  0.0000  0.0000  0.0000  8 Hf 2.85
S  0.5000  0.5000  0.5000  8 Hf 2.85

Computed properties:
- formation energy without anion corrections (kJ/mol of formula units) = -237
- offset from the most stable computed form (meV per atom) = 287
- SG = Fm-3m (225)